# Dy4C2Cl

Crystalline Dy4C2Cl at its relaxed geometry (GGA-PBE, Alexandria).

```
data_Dy4C2Cl
_symmetry_space_group_name_H-M 'P 1'
_symmetry_Int_Tables_number 1
_symmetry_space_group_name_Hall 'P 1'
_cell_length_a 13.209
_cell_length_b 13.209
_cell_length_c 13.209
_cell_angle_alpha 15.73
_cell_angle_beta 15.73
_cell_angle_gamma 15.73
loop_
_atom_site_label
_atom_site_type_symbol
_atom_site_fract_x
_atom_site_fract_y
_atom_site_fract_z
Dy1 Dy 0.122 0.122 0.122
Dy2 Dy 0.279 0.279 0.279
Dy3 Dy 0.721 0.721 0.721
Dy4 Dy 0.878 0.878 0.878
C1 C 0.420 0.420 0.420
C2 C 0.580 0.580 0.580
Cl1 Cl 0.000 0.000 0.000
```

Results
Symmetry ... R-3m (166)
Magnetization ... 0.00 μB per formula unit
Total energy ... -6.275 eV/atom